Density functional theory data (PBE-GGA) for TaOsSe2N after structural relaxation.

Output
- ρ (g/cm³) = 7.7
- SG = P4/mmm (123)
- spin magnetization (μB per formula unit) = 0.00
- formation energy without anion corrections (eV/atom) = 2.187
- V (Å³ per atom) = 23.54

a b c (Å): 4.884 4.884 4.935
angles (deg): 90.00 90.00 90.00
Element x y z (fractional)
Ta1 0.000 0.000 0.000
Os1 0.000 0.000 0.500
Se1 0.000 0.500 0.000
Se2 0.500 0.000 0.000
N1 0.500 0.500 0.500